The following is a DFT calculation (PBE) of a geometry-optimized Cs2AlS8 structure.

Lattice parameters (Å, degrees): 7.2342 7.3838 7.6254 64.77 75.71 66.34
Space group P-1 (No. 2)
One atom of each set of equivalent atoms:
Cs (0.1660, 0.0131, 0.2248) x2
Al (0.5000, 0.5000, 0.0000) x1
S (0.1454, 0.5499, 0.1574) x2
S (0.1568, 0.4549, 0.4500) x2
S (0.3496, 0.6629, 0.7108) x2
S (0.3880, 0.8670, 0.8191) x2

Summary:
M_tot	0.082	μB/atom
ρ	2.71	g cm⁻³
energy relative to the elements, uncorrected	-0.49	eV per atom
calculated total energy	-3.991	eV/atom

=====

The following is a DFT calculation (PBE) of a geometry-optimized La4YMg structure.

Lattice parameters (Å, degrees): 9.4952 9.4952 9.4952 90.00 90.00 90.00
Space group F-43m (No. 216)
One atom of each set of equivalent atoms:
La (0.1250, 0.1250, 0.1250) x16
Y (0.0000, 0.0000, 0.5000) x4
Mg (0.2500, 0.2500, 0.7500) x4

Summary:
distance to the lowest polymorph of the same formula	270	meV/atom
M_tot	0.000	μB/atom
ρ	5.19	g cm⁻³
formation enthalpy at 0 K	1.48	eV/f.u.
calculated total energy	-4.382	eV/atom

=====

The following is a DFT calculation (PBE) of a geometry-optimized ScCuPN2 structure.

Lattice parameters (Å, degrees): 3.9493 3.9493 5.3794 90.00 90.00 90.00
Space group P4/mmm (No. 123)
One atom of each set of equivalent atoms:
Sc (0.0000, 0.0000, 0.0000) x1
Cu (0.0000, 0.0000, 0.5000) x1
P (0.5000, 0.5000, 0.5000) x1
N (0.0000, 0.5000, 0.0000) x2

Summary:
M_tot	0.000	μB/atom
ρ	3.31	g cm⁻³
energy relative to the elements, uncorrected	1.26	eV per atom
calculated total energy	-5.241	eV/atom

=====

The following is a DFT calculation (PBE) of a geometry-optimized In2FeTe structure.

Lattice parameters (Å, degrees): 9.6240 3.2735 6.4593 90.00 110.39 90.00
Space group Cm (No. 8)
One atom of each set of equivalent atoms:
In (0.0000, 0.0000, 0.0000) x2
In (0.1977, 0.0000, 0.6948) x2
Fe (0.4654, 0.0000, 0.6565) x2
Te (0.3555, 0.5000, 0.3452) x2

Summary:
M_tot	0.197	μB/atom
ρ	7.19	g cm⁻³
energy relative to the elements, uncorrected	0.12	eV per atom
calculated total energy	-4.146	eV/atom

=====

The following is a DFT calculation (PBE) of a geometry-optimized MgCrCuRh structure.

Lattice parameters (Å, degrees): 6.1416 6.1416 6.1416 90.00 90.00 90.00
Space group F-43m (No. 216)
One atom of each set of equivalent atoms:
Mg (0.0000, 0.0000, 0.0000) x4
Cr (0.0000, 0.0000, 0.5000) x4
Cu (0.2500, 0.2500, 0.7500) x4
Rh (0.2500, 0.2500, 0.2500) x4

Summary:
M_tot	0.865	μB/atom
ρ	6.96	g cm⁻³
formation enthalpy at 0 K	-0.06	eV/f.u.
calculated total energy	-5.680	eV/atom

=====

The following is a DFT calculation (PBE) of a geometry-optimized Fe5Ni structure.

Lattice parameters (Å, degrees): 2.8976 12.0336 4.0101 90.00 90.00 90.00
Space group Cmmm (No. 65)
One atom of each set of equivalent atoms:
Fe (0.0000, 0.0000, 0.0000) x2
Fe (0.0000, 0.1671, 0.5000) x4
Fe (0.0000, 0.3339, 0.0000) x4
Ni (0.0000, 0.5000, 0.5000) x2

Summary:
distance to the lowest polymorph of the same formula	0	meV/atom
M_tot	2.252	μB/atom
ρ	8.03	g cm⁻³
formation enthalpy at 0 K	0.11	eV/f.u.
calculated total energy	-7.997	eV/atom

=====

The following is a DFT calculation (PBE) of a geometry-optimized ZnCo2Mo structure.

Lattice parameters (Å, degrees): 5.4797 6.8940 2.6613 90.00 90.00 90.00
Space group Cmmm (No. 65)
One atom of each set of equivalent atoms:
Zn (0.0000, 0.0000, 0.0000) x2
Co (0.2500, 0.2500, 0.5000) x4
Mo (0.0000, 0.5000, 0.0000) x2

Summary:
M_tot	0.000	μB/atom
ρ	9.22	g cm⁻³
formation enthalpy at 0 K	0.45	eV/f.u.
calculated total energy	-6.467	eV/atom

=====

The following is a DFT calculation (PBE) of a geometry-optimized Pm2Tm2Sb5 structure.

Lattice parameters (Å, degrees): 15.8486 8.0373 8.2414 90.00 90.00 90.00
Space group Cmce (No. 64)
One atom of each set of equivalent atoms:
Pm (0.1921, 0.0000, 0.0000) x8
Tm (0.0000, 0.1552, 0.3402) x8
Sb (0.0000, 0.0000, 0.0000) x4
Sb (0.1355, 0.1462, 0.6458) x16

Summary:
M_tot	0.000	μB/atom
ρ	7.82	g cm⁻³
energy relative to the elements, uncorrected	-0.84	eV per atom
calculated total energy	-5.184	eV/atom

=====

The following is a DFT calculation (PBE) of a geometry-optimized Pm5Dy4Ho2 structure.

Lattice parameters (Å, degrees): 3.5169 9.1280 23.4617 90.00 90.00 90.00
Space group Immm (No. 71)
One atom of each set of equivalent atoms:
Pm (0.0000, 0.0000, 0.0000) x2
Pm (0.0000, 0.2989, 0.3532) x8
Dy (0.0000, 0.1893, 0.5000) x4
Dy (0.0000, 0.5000, 0.0968) x4
Ho (0.0000, 0.5000, 0.2305) x4

Summary:
distance to the lowest polymorph of the same formula	137	meV/atom
M_tot	0.000	μB/atom
ρ	7.52	g cm⁻³
formation enthalpy at 0 K	2.31	eV/f.u.
calculated total energy	-4.455	eV/atom

=====

The following is a DFT calculation (PBE) of a geometry-optimized Tb6ScAg structure.

Lattice parameters (Å, degrees): 6.6088 6.6146 8.1260 90.11 113.94 119.93
Space group P-1 (No. 2)
One atom of each set of equivalent atoms:
Tb (0.0302, 0.4639, 0.2163) x2
Tb (0.2514, 0.0665, 0.2162) x2
Tb (0.3516, 0.3147, 0.7839) x2
Sc (0.5000, 0.0000, 0.0000) x1
Ag (0.5000, 0.5000, 0.5000) x1

Summary:
M_tot	0.000	μB/atom
ρ	6.76	g cm⁻³
formation enthalpy at 0 K	3.05	eV/f.u.
calculated total energy	-4.239	eV/atom

=====

The following is a DFT calculation (PBE) of a geometry-optimized MgNbO3 structure.

Lattice parameters (Å, degrees): 5.5568 5.5568 2.6956 90.00 90.00 120.00
Space group P-6m2 (No. 187)
One atom of each set of equivalent atoms:
Mg (0.0000, 0.0000, 0.0000) x1
Nb (0.6667, 0.3333, 0.0000) x1
O (0.3353, 0.1676, 0.5000) x3

Summary:
M_tot	0.000	μB/atom
ρ	3.81	g cm⁻³
energy relative to the elements, uncorrected	-2.45	eV per atom
calculated total energy	-7.755	eV/atom

=====

The following is a DFT calculation (PBE) of a geometry-optimized ReSe2Br structure.

Lattice parameters (Å, degrees): 3.4128 3.4128 24.8696 90.00 90.00 120.00
Space group R-3m (No. 166, hexagonal axes)
One atom of each set of equivalent atoms:
Re (0.0000, 0.0000, 0.0000) x3
Se (0.0000, 0.0000, 0.2680) x6
Br (0.0000, 0.0000, 0.5000) x3

Summary:
distance to the lowest polymorph of the same formula	58	meV/atom
M_tot	0.001	μB/atom
ρ	8.42	g cm⁻³
energy relative to the elements, uncorrected	0.05	eV per atom
calculated total energy	-5.224	eV/atom